First-principles (PBE) data for crystalline NaLiSnSe2 at its relaxed geometry, as listed in Alexandria via LeMat-Bulk.

Cell: 4.174 8.150 8.326 Å, 81.35 90.00 104.84°
Fractional positions:
Li1 0.698 0.395 0.080
Se1 0.863 0.726 0.031
Na1 0.688 0.376 0.712
Sn1 0.052 0.105 0.281
Se2 0.349 0.697 0.616
Sn2 0.948 0.895 0.719
Li2 0.302 0.605 0.920
Na2 0.312 0.624 0.288
Se3 0.651 0.303 0.384
Se4 0.137 0.274 0.969

Summary:
As for the uncorrected energy: -18.40 eV per formula unit. The uncorrected formation energy is -0.8397 eV per atom. Its density is 3.8 g/cm3.

=====

First-principles (PBE) data for crystalline Na2LiTa2Se6 at its relaxed geometry, as listed in Alexandria via LeMat-Bulk.

Cell: 6.554 6.554 7.322 Å, 97.08 97.08 119.60°
Each line ends with the local moment (μB).
Fractional positions:
Se1 0.294 0.294 0.261  0.01
Se2 0.593 0.946 0.300  0.00
Li1 0.000 0.000 0.500  0.00
Na1 0.175 0.825 0.000  0.00
Ta1 0.353 0.647 0.500  0.33
Se3 0.946 0.593 0.300  0.00
Se4 0.407 0.054 0.700  0.00
Se5 0.054 0.407 0.700  0.00
Se6 0.706 0.706 0.739  0.01
Na2 0.825 0.175 0.000  0.00
Ta2 0.647 0.353 0.500  0.33

Summary:
As for the uncorrected energy: -59.14 eV per formula unit. The uncorrected formation energy is -0.9066 eV per atom. Its density is 5.6 g/cm3.

=====

First-principles (PBE) data for crystalline Na2LiTb3Se6 at its relaxed geometry, as listed in Alexandria via LeMat-Bulk.

Cell: 7.177 7.177 7.249 Å, 99.49 99.49 120.00°
Fractional positions:
Se1 0.913 0.584 0.737
Se2 0.241 0.241 0.737
Se3 0.759 0.759 0.263
Na1 0.334 0.666 0.000
Se4 0.584 0.913 0.737
Se5 0.087 0.416 0.263
Li1 0.000 0.000 0.000
Tb1 0.500 0.500 0.500
Tb2 0.167 0.833 0.500
Se6 0.416 0.087 0.263
Na2 0.666 0.334 0.000
Tb3 0.833 0.167 0.500

Summary:
As for the uncorrected energy: -59.71 eV per formula unit. The uncorrected formation energy is -1.6967 eV per atom. Its density is 5.5 g/cm3.

=====

First-principles (PBE) data for crystalline NaLi2TeSe at its relaxed geometry, as listed in Alexandria via LeMat-Bulk.

Cell: 4.841 4.841 5.595 Å, 90.00 90.00 90.00°
Each line ends with the local moment (μB).
Fractional positions:
Na1 0.000 0.000 0.500  0.00
Te1 0.500 0.500 0.500  0.42
Li1 0.000 0.500 0.000  0.00
Se1 0.000 0.000 0.000  0.13
Li2 0.500 0.000 0.000  0.00

Summary:
As for the uncorrected energy: -15.57 eV per formula unit. The uncorrected formation energy is -0.7588 eV per atom. Its density is 3.1 g/cm3.

=====

First-principles (PBE) data for crystalline Na3Li3Te2Se at its relaxed geometry, as listed in Alexandria via LeMat-Bulk.

Cell: 4.440 7.407 7.407 Å, 120.00 90.00 90.00°
Fractional positions:
Li1 0.500 0.000 0.757
Li2 0.500 0.243 0.243
Na1 0.000 0.407 0.000
Te1 0.500 0.667 0.333
Na2 0.000 0.593 0.593
Te2 0.500 0.333 0.667
Li3 0.500 0.757 0.000
Se1 0.000 0.000 0.000
Na3 0.000 0.000 0.407

Summary:
As for the uncorrected energy: -28.50 eV per formula unit. The uncorrected formation energy is -1.0040 eV per atom. Its density is 3.3 g/cm3.

=====

First-principles (PBE) data for crystalline Na2LiTeSe4 at its relaxed geometry, as listed in Alexandria via LeMat-Bulk.

Cell: 8.276 8.276 8.863 Å, 122.38 122.38 90.10°
Each line ends with the local moment (μB).
Fractional positions:
Se1 0.785 0.303 0.544  0.12
Na1 0.500 0.000 0.000  0.00
Se2 0.197 0.715 0.956  0.12
Te1 0.000 0.000 0.000  -0.01
Se3 0.749 0.751 0.982  0.01
Se4 0.251 0.249 0.018  0.01
Se5 0.749 0.751 0.518  0.01
Se6 0.215 0.697 0.456  0.12
Se7 0.803 0.285 0.044  0.12
Na2 0.000 0.000 0.500  0.00
Li1 0.000 0.500 0.500  0.00
Li2 0.000 0.500 0.000  0.00
Te2 0.500 0.500 0.500  -0.01
Na3 0.500 0.500 0.000  0.00
Na4 0.500 0.000 0.500  0.00
Se8 0.251 0.249 0.482  0.01

Summary:
As for the uncorrected energy: -26.33 eV per formula unit. The uncorrected formation energy is -0.5876 eV per atom. Its density is 4.2 g/cm3.

=====

First-principles (PBE) data for crystalline NaLi3Th2Se6 at its relaxed geometry, as listed in Alexandria via LeMat-Bulk.

Cell: 4.245 8.218 9.024 Å, 101.28 103.60 90.00°
Fractional positions:
Th1 0.844 0.680 0.688
Se1 0.005 0.738 0.010
Se2 0.332 0.423 0.663
Se3 0.675 0.089 0.351
Se4 0.668 0.577 0.337
Se5 0.995 0.262 0.990
Li1 0.840 0.167 0.680
Li2 0.160 0.833 0.320
Li3 0.500 0.500 0.000
Se6 0.325 0.911 0.649
Na1 0.500 0.000 0.000
Th2 0.156 0.320 0.312

Summary:
As for the uncorrected energy: -60.45 eV per formula unit. The uncorrected formation energy is -1.4701 eV per atom. Its density is 5.4 g/cm3.

=====

First-principles (PBE) data for crystalline Na2LiThSe4 at its relaxed geometry, as listed in Alexandria via LeMat-Bulk.

Cell: 8.376 8.376 8.658 Å, 121.12 121.12 89.70°
Each line ends with the local moment (μB).
Fractional positions:
Se1 0.245 0.255 0.485  0.16
Na1 0.500 0.500 0.000  0.00
Na2 0.500 0.000 0.500  0.00
Se2 0.245 0.255 0.015  0.16
Th1 0.000 0.500 0.000  0.01
Na3 0.500 0.000 0.000  0.00
Se3 0.755 0.745 0.515  0.16
Li1 0.000 0.000 0.000  0.00
Se4 0.237 0.746 0.992  0.05
Th2 0.000 0.500 0.500  0.01
Se5 0.755 0.745 0.985  0.16
Li2 0.500 0.500 0.500  0.00
Se6 0.754 0.263 0.508  0.05
Na4 0.000 0.000 0.500  0.00
Se7 0.246 0.737 0.492  0.05
Se8 0.763 0.254 0.008  0.05

Summary:
As for the uncorrected energy: -35.81 eV per formula unit. The uncorrected formation energy is -1.2373 eV per atom. Its density is 4.8 g/cm3.